[1]
VASP calculation (PBE) on a relaxed structure of SrHfMg2.

a b c (Å): 5.362 5.362 5.362
angles (deg): 60.00 60.00 60.00
Fractional coordinates of all 4 atoms:
Sr  0.000  0.000  0.000
Mg  0.250  0.250  0.250
Mg  0.750  0.750  0.750
Hf  0.500  0.500  0.500

Summary:
- energy of formation from the pure elements (kcal/mol of atoms) = 7.73

[2]
VASP calculation (PBE) on a relaxed structure of TlSn2Pb2.

a b c (Å): 5.938 11.348 6.704
angles (deg): 134.11 90.28 75.26
Fractional coordinates of all 10 atoms:
Tl  0.017  0.999  0.250
Tl  0.983  0.001  0.750
Sn  0.208  0.598  0.051
Sn  0.808  0.402  0.450
Sn  0.792  0.402  0.949
Sn  0.192  0.598  0.550
Pb  0.400  0.223  0.345
Pb  0.623  0.777  0.155
Pb  0.600  0.777  0.655
Pb  0.377  0.223  0.845

Summary:
- energy of formation from the pure elements (kcal/mol of atoms) = 1.03
- polymorph energy (0 for the lowest one) (eV per atom) = 0.000

[3]
VASP calculation (PBE) on a relaxed structure of SrSi2Ag.

a b c (Å): 3.640 3.640 6.649
angles (deg): 90.00 90.00 89.85
Fractional coordinates of all 4 atoms:
Ag  0.500  0.500  0.750
Si  0.000  0.000  0.927
Si  0.000  0.000  0.573
Sr  0.500  0.500  0.250

Summary:
- raw formation energy (meV per atom) = 37.6

[4]
VASP calculation (PBE) on a relaxed structure of Ba2SrIr.

a b c (Å): 3.867 3.867 11.056
angles (deg): 90.00 90.00 90.00
Fractional coordinates of all 4 atoms:
Ba  0.000  0.000  0.989
Ba  0.500  0.500  0.347
Ir  0.000  0.000  0.507
Sr  0.500  0.500  0.657

Summary:
- energy of formation from the pure elements (kcal/mol of atoms) = 1.23
- polymorph energy (0 for the lowest one) (eV per atom) = 0.224

[5]
VASP calculation (PBE) on a relaxed structure of CaZnSCl2.

a b c (Å): 5.153 5.153 5.672
angles (deg): 90.00 90.00 90.00
Fractional coordinates of all 5 atoms:
S  0.000  0.000  0.500
Zn  0.500  0.500  0.500
Ca  0.000  0.000  0.000
Cl  0.000  0.500  0.000
Cl  0.500  0.000  0.000

Summary:
- polymorph energy (0 for the lowest one) (eV per atom) = 0.461
- raw formation energy (meV per atom) = -731.3

[6]
VASP calculation (PBE) on a relaxed structure of NaLaNd2S4.

a b c (Å): 4.087 7.052 7.162
angles (deg): 109.22 90.00 90.00
Fractional coordinates of all 8 atoms:
Na  0.500  0.500  0.000
La  0.000  0.000  0.000
Nd  0.500  0.000  0.500
Nd  0.000  0.500  0.500
S  0.500  0.253  0.253
S  0.500  0.747  0.747
S  0.000  0.248  0.745
S  0.000  0.752  0.255

Summary:
- raw formation energy (meV per atom) = -1948.5

[7]
VASP calculation (PBE) on a relaxed structure of ReSiGe.

a b c (Å): 2.576 4.589 4.589
angles (deg): 120.00 90.00 90.00
Fractional coordinates of all 3 atoms:
Re  0.000  0.000  0.000
Ge  0.999  0.333  0.667
Si  0.001  0.667  0.333

Summary:
- polymorph energy (0 for the lowest one) (eV per atom) = 0.000
- raw formation energy (meV per atom) = 372.7

[8]
VASP calculation (PBE) on a relaxed structure of Ti2MnRh.

a b c (Å): 3.023 3.023 6.116
angles (deg): 90.00 90.00 90.00
Fractional coordinates of all 4 atoms:
Mn  0.500  0.500  0.000
Rh  0.500  0.500  0.500
Ti  0.000  0.000  0.766
Ti  0.000  0.000  0.234

Summary:
- energy of formation from the pure elements (kcal/mol of atoms) = -14.21
- polymorph energy (0 for the lowest one) (eV per atom) = 0.000

no.,ρ (Mg/m³)
1,4.8
2,9.4
3,4.7
4,5.6
5,2.3
6,4.9
7,10.1
8,7.5